This record from Alexandria via LeMat-Bulk describes crystalline Tb2Ga4Pd5 at its relaxed geometry. The functional is PBE.

Summary:
VASP energy = -55.28 eV for the cell shown
calculated formation energy = -0.723 eV per atom
N(E_F) = 0.4861 states/eV/atom

a b c (Å): 9.1382 8.3311 5.4721
angles (deg): 79.99 63.87 36.14
With the nearest neighbours (Å) after each atom.
Atoms (fractional coordinates):
Tb: 0.1278 0.1278 0.8722  6 Ga 3.17-3.23, 10 Pd 3.34-3.46
Tb: 0.8722 0.8722 0.1278  6 Ga 3.17-3.23, 10 Pd 3.34-3.46
Ga: 0.2142 0.5255 0.4745  5 Pd 2.51-2.63
Ga: 0.4745 0.7858 0.2142  5 Pd 2.51-2.63
Ga: 0.5255 0.2142 0.7858  5 Pd 2.51-2.63
Ga: 0.7858 0.4745 0.5255  5 Pd 2.51-2.63
Pd: 0.0000 0.0000 0.5000  4 Ga 2.63, 4 Pd 2.74-2.81
Pd: 0.2500 0.2500 0.2500  4 Ga 2.51
Pd: 0.5000 0.5000 0.0000  4 Ga 2.63, 4 Pd 2.74-2.81
Pd: 0.5000 0.5000 0.5000  4 Ga 2.51, 4 Pd 2.74
Pd: 0.7500 0.7500 0.7500  4 Ga 2.51



This record from Alexandria via LeMat-Bulk describes crystalline TbGa6Pd4 at its relaxed geometry. The functional is PBE.

Summary:
VASP energy = -50.43 eV for the cell shown
calculated formation energy = -0.624 eV per atom
N(E_F) = 0.5204 states/eV/atom

a b c (Å): 7.4361 7.4361 3.9796
angles (deg): 90.00 90.00 120.00
With the nearest neighbours (Å) after each atom.
Atoms (fractional coordinates):
Tb: 0.0000 0.0000 0.0000  6 Ga 3.21, 6 Pd 3.26
Ga: 0.1952 0.3904 0.5000  4 Pd 2.55-2.67
Ga: 0.1952 0.8048 0.5000  4 Pd 2.55-2.67
Ga: 0.5337 0.0674 0.0000  5 Pd 2.58-2.62
Ga: 0.5337 0.4663 0.0000  5 Pd 2.58-2.62
Ga: 0.6096 0.8048 0.5000  4 Pd 2.55-2.67
Ga: 0.9326 0.4663 0.0000  5 Pd 2.58-2.62
Pd: 0.3333 0.6667 0.0000  9 Ga 2.58-2.67
Pd: 0.4012 0.2006 0.5000  6 Ga 2.55-2.62
Pd: 0.7994 0.2006 0.5000  6 Ga 2.55-2.62
Pd: 0.7994 0.5988 0.5000  6 Ga 2.55-2.62